Compound: SrCdAg2
Source: Alexandria
Functional: GGA-PBE
Structure: optimized geometry

```
8
Lattice="5.0729 0.0000 0.0000 0.0000 5.0729 0.0000 2.5365 2.5365 9.6568" Properties=species:S:1:pos:R:3 pbc="T T T"
Sr 2.5365 5.0729 4.8284
Sr 2.5365 2.5365 0.0000
Ag 4.5800 1.2682 2.4142
Ag 3.8047 3.0294 7.2426
Ag 6.3412 2.0435 7.2426
Ag 5.5659 3.8047 2.4142
Cd 0.0000 0.0000 0.0000
Cd 5.0729 2.5365 4.8284
```

The density of states at the Fermi level is 0.440 states/eV/atom. The calculation puts the energy of formation at -22 meV/atom.

***

Compound: SrCdBr2
Source: Alexandria
Functional: GGA-PBE
Structure: optimized geometry

```
4
Lattice="6.4536 0.0051 -0.0041 1.3482 6.3112 0.0041 -2.9030 -4.3908 3.7340" Properties=species:S:1:pos:R:3 pbc="T T T"
Br 0.3857 0.3123 0.0000
Br 3.5152 2.8459 0.0000
Cd 3.7258 -0.6138 1.8650
Sr 1.1731 2.5393 1.8691
```

The excess energy over the best structure of this formula in the dataset comes out at 0.157 eV per atom. The density of states at the Fermi level is 0.000 states/eV/atom. The calculation puts the uncorrected formation energy at -1.26 eV/atom.

***

Compound: TlIn2PbCl5
Source: Alexandria
Functional: GGA-PBE
Structure: optimized geometry

```
18
Lattice="-1.3698 3.0232 -2.8306 -7.9568 -4.3591 2.5561 -1.8937 10.6873 12.3310" Properties=species:S:1:pos:R:3 pbc="T T T"
Cl -8.7332 5.2447 6.4668
Cl -5.3153 5.6583 8.6157
Cl -5.5455 1.6641 1.0999
Cl -6.5309 9.9606 10.4379
Cl -1.8676 4.1720 1.9985
Cl -9.4272 5.5994 10.5427
Cl -7.1894 -2.0187 1.3232
Cl -3.2014 6.6883 5.3316
Cl -5.3229 2.9657 5.7436
Cl -1.7845 0.1414 1.0147
Tl -8.4833 2.1392 6.3903
Tl -3.4425 11.1931 10.2596
In -3.1128 1.8704 3.5041
In -8.7262 0.6716 1.5790
In -2.1533 6.7557 8.2575
In -8.1305 7.6100 8.7013
Pb -5.9072 5.8340 5.7285
Pb -4.4961 -1.0940 1.0075
```

The density of states at the Fermi level is 0.000 states/eV/atom. The calculation puts the uncorrected formation energy at -0.95 eV/atom.

***

Compound: SmDyThSc
Source: Alexandria
Functional: GGA-PBE
Structure: optimized geometry

```
4
Lattice="3.5414 -0.0004 -0.0006 -1.7702 3.0675 0.0016 -1.7689 -1.0280 11.2040" Properties=species:S:1:pos:R:3 pbc="T T T"
Sm 2.1054 0.7972 4.0210
Dy 0.3365 -0.2287 6.9947
Th -1.4340 0.7925 9.8031
Sc -1.4365 2.8430 1.2513
```

The excess energy over the best structure of this formula in the dataset comes out at 0.000 eV per atom. The density of states at the Fermi level is 1.593 states/eV/atom. The calculation puts the energy of formation at 35 meV/atom.

***

Compound: Tb2ThTe
Source: Alexandria
Functional: GGA-PBE
Structure: optimized geometry

```
4
Lattice="3.8536 0.0000 0.0000 1.9268 3.3373 0.0000 1.9268 1.1124 9.9353" Properties=species:S:1:pos:R:3 pbc="T T T"
Te 5.7804 3.3373 9.9324
Tb 1.9268 1.1124 7.8074
Tb 1.9268 1.1124 2.1233
Th 3.8536 2.2249 4.9751
```

The excess energy over the best structure of this formula in the dataset comes out at 0.094 eV per atom. The density of states at the Fermi level is 1.437 states/eV/atom. The calculation puts the uncorrected formation energy at -0.48 eV/atom.

***

Compound: Ta2AuCl
Source: Alexandria
Functional: GGA-PBE
Structure: optimized geometry

```
8
Lattice="-2.2522 -2.5312 -2.3967 1.4439 -3.2745 2.1014 -7.4483 -2.2223 5.7531" Properties=species:S:1:pos:R:3 pbc="T T T"
Cl -3.2043 -4.1998 3.8534
Cl -0.4041 -2.9028 -0.1476
Ta -3.0931 -2.5513 0.1988
Ta -1.2372 -2.9141 2.4563
Ta -5.8919 -3.8381 4.2004
Ta -6.2909 -6.7524 4.0601
Au -5.0523 -3.8282 1.6044
Au 0.0000 0.0000 0.0000
```

The excess energy over the best structure of this formula in the dataset comes out at 0.773 eV per atom. The density of states at the Fermi level is 0.673 states/eV/atom. The calculation puts the uncorrected formation energy at 0.63 eV/atom.